TeWNCl4F5 | PBE with a Hubbard U | relaxed

Calculated values
Symmetry: P-1 (2)
Calculated total energy: -4.21 eV per atom

Unit cell a=6.450 b=6.522 c=13.950 alpha=84.84 beta=86.24 gamma=81.53
Positions (direct):
Cl 0.305 0.720 0.897
Cl 0.851 0.819 0.027
Cl 0.149 0.181 0.973
Cl 0.695 0.280 0.103
Cl 0.720 0.206 0.858
Cl 0.280 0.794 0.142
Cl 0.133 0.261 0.212
Cl 0.867 0.739 0.788
F 0.646 0.681 0.497
F 0.354 0.319 0.503
F 0.528 0.066 0.642
F 0.472 0.934 0.358
F 0.813 0.016 0.435
F 0.667 0.562 0.321
F 0.009 0.640 0.399
F 0.333 0.438 0.679
F 0.187 0.984 0.565
F 0.991 0.360 0.601
N 0.155 0.095 0.751
N 0.845 0.905 0.249
Te 0.258 0.210 0.624
Te 0.742 0.790 0.376
W 0.031 0.977 0.854
W 0.969 0.023 0.146